The following is a DFT calculation (PBE-GGA) of crystalline NaCaCd2Ni at its relaxed geometry.

## Properties
energy of formation from the pure elements: -0.057 eV per atom
V: 26.644 Å³/atom
DOS(E_F): 0.471 states/eV/atom

abc: 5.1250 5.1250 5.0721
angles: 90.00 90.00 90.00
Last column: nearest neighbours and their distance in Å.
Element x y z (fractional)
Ni 0.0000 0.0000 0.0000  2 Ca 2.54, 4 Cd 2.56
Ca 0.0000 0.0000 0.5000  2 Ni 2.54
Na 0.5000 0.5000 0.5000  8 Cd 3.61, 4 Ca 3.62
Cd 0.0000 0.5000 0.0000  2 Ni 2.56
Cd 0.5000 0.0000 0.0000  2 Ni 2.56



The following is a DFT calculation (PBE-GGA) of crystalline NaCd2Ag4 at its relaxed geometry.

## Properties
energy of formation from the pure elements: -0.030 eV per atom
E above lowest polymorph: 0 meV/atom
V: 21.710 Å³/atom
DOS(E_F): 0.243 states/eV/atom

abc: 4.7911 7.9649 7.9649
angles: 90.00 90.00 90.00
Last column: nearest neighbours and their distance in Å.
Element x y z (fractional)
Na 0.5000 0.0000 0.0000  4 Ag 3.20, 6 Cd 3.27-3.36
Na 0.0000 0.5000 0.5000  4 Ag 3.20, 6 Cd 3.27-3.36
Cd 0.0000 0.2096 0.7904  6 Ag 2.83-2.93
Cd 0.0000 0.7904 0.2096  6 Ag 2.83-2.93
Cd 0.5000 0.7096 0.7096  6 Ag 2.83-2.93
Cd 0.5000 0.2904 0.2904  6 Ag 2.83-2.93
Ag 0.0000 0.1191 0.3734  6 Ag 2.77-3.09, 3 Cd 2.83-2.93
Ag 0.0000 0.8809 0.6266  6 Ag 2.77-3.09, 3 Cd 2.83-2.93
Ag 0.5000 0.1266 0.6191  6 Ag 2.77-3.09, 3 Cd 2.83-2.93
Ag 0.5000 0.8734 0.3809  6 Ag 2.77-3.09, 3 Cd 2.83-2.93
Ag 0.5000 0.3809 0.8734  6 Ag 2.77-3.09, 3 Cd 2.83-2.93
Ag 0.5000 0.6191 0.1266  6 Ag 2.77-3.09, 3 Cd 2.83-2.93
Ag 0.0000 0.3734 0.1191  6 Ag 2.77-3.09, 3 Cd 2.83-2.93
Ag 0.0000 0.6266 0.8809  6 Ag 2.77-3.09, 3 Cd 2.83-2.93



Q: What is the V in the second record?
A: 21.710 Å³/atom